# 1
DFT (PBE) results for a geometry-optimized Th6TcBi2 structure.

Values from the calculation:
Offset from the most stable computed form ... 125.8 meV per atom
Formation energy ... -0.2437 eV per atom
Crystal system ... monoclinic
DFT total energy ... -7.204 eV per atom

a b c (Å): 6.483 8.239 10.663
angles (deg): 90.00 92.56 90.00
Element x y z (fractional)
Th (0.884, 0.980, 0.252)
Th (0.860, 0.676, 0.534)
Th (0.872, 0.695, 0.961)
Th (0.628, 0.195, 0.539)
Th (0.640, 0.176, 0.966)
Th (0.616, 0.480, 0.248)
Th (0.116, 0.020, 0.748)
Th (0.140, 0.324, 0.466)
Th (0.128, 0.305, 0.039)
Th (0.372, 0.805, 0.461)
Th (0.360, 0.824, 0.034)
Th (0.384, 0.520, 0.752)
Tc (0.500, 0.500, 0.000)
Tc (0.000, 0.000, 0.500)
Bi (0.902, 0.392, 0.754)
Bi (0.598, 0.892, 0.746)
Bi (0.402, 0.108, 0.254)
Bi (0.098, 0.608, 0.246)

---

# 2
DFT (PBE) results for a geometry-optimized Th5Tc2Bi2 structure.

Values from the calculation:
Offset from the most stable computed form ... 0.0 meV per atom
Formation energy ... -0.3620 eV per atom
Crystal system ... orthorhombic
DFT total energy ... -7.650 eV per atom

a b c (Å): 8.057 8.032 9.093
angles (deg): 90.00 63.70 90.00
Element x y z (fractional)
Th (0.000, 0.000, 0.000)
Th (0.500, 0.500, 0.000)
Th (0.452, 0.162, 0.771)
Th (0.777, 0.838, 0.771)
Th (0.277, 0.662, 0.771)
Th (0.952, 0.338, 0.771)
Th (0.548, 0.838, 0.229)
Th (0.223, 0.162, 0.229)
Th (0.723, 0.338, 0.229)
Th (0.048, 0.662, 0.229)
Tc (0.140, 0.361, 0.000)
Tc (0.860, 0.639, 0.000)
Tc (0.360, 0.861, 0.000)
Tc (0.640, 0.139, 0.000)
Bi (0.211, 0.000, 0.578)
Bi (0.711, 0.500, 0.578)
Bi (0.789, 0.000, 0.422)
Bi (0.289, 0.500, 0.422)

---

# 3
DFT (PBE) results for a geometry-optimized Th2TcBi structure.

Values from the calculation:
Offset from the most stable computed form ... 143.7 meV per atom
Formation energy ... -0.2113 eV per atom
Crystal system ... trigonal
DFT total energy ... -7.483 eV per atom

a b c (Å): 4.269 4.269 7.864
angles (deg): 74.25 74.25 60.00
Element x y z (fractional)
Bi (0.500, 0.500, 0.500)
Th (0.267, 0.267, 0.199)
Th (0.733, 0.733, 0.801)
Tc (0.000, 0.000, 0.000)

---

# 4
DFT (PBE) results for a geometry-optimized Th2TcBi structure.

Values from the calculation:
Offset from the most stable computed form ... 42.4 meV per atom
Formation energy ... -0.3126 eV per atom
Crystal system ... tetragonal
DFT total energy ... -7.584 eV per atom

a b c (Å): 3.455 3.455 9.020
angles (deg): 90.00 90.00 90.00
Element x y z (fractional)
Bi (0.500, 0.500, 0.500)
Th (0.000, 0.000, 0.799)
Th (0.000, 0.000, 0.201)
Tc (0.500, 0.500, 0.000)

---

# 5
DFT (PBE) results for a geometry-optimized Th2TcBi structure.

Values from the calculation:
Offset from the most stable computed form ... 0.0 meV per atom
Formation energy ... -0.3551 eV per atom
Crystal system ... monoclinic
DFT total energy ... -7.627 eV per atom

a b c (Å): 4.164 6.534 8.880
angles (deg): 109.43 90.00 90.00
Element x y z (fractional)
Th (0.750, 0.252, 0.462)
Th (0.250, 0.748, 0.538)
Th (0.750, 0.648, 0.883)
Th (0.250, 0.352, 0.117)
Tc (0.750, 0.615, 0.299)
Tc (0.250, 0.385, 0.701)
Bi (0.750, 0.113, 0.803)
Bi (0.250, 0.887, 0.197)

---

# 6
DFT (PBE) results for a geometry-optimized Th7Tc2Bi2 structure.

Values from the calculation:
Formation energy ... -0.2710 eV per atom
Crystal system ... orthorhombic
DFT total energy ... -7.583 eV per atom

a b c (Å): 4.004 9.838 9.838
angles (deg): 60.46 78.26 78.26
Element x y z (fractional)
Th (0.820, 0.081, 0.280)
Th (0.847, 0.419, 0.887)
Th (0.500, 0.027, 0.973)
Th (0.638, 0.464, 0.260)
Th (0.362, 0.740, 0.536)
Th (0.180, 0.720, 0.919)
Th (0.153, 0.113, 0.581)
Tc (0.728, 0.861, 0.683)
Tc (0.272, 0.317, 0.139)
Bi (0.000, 0.752, 0.248)
Bi (0.500, 0.361, 0.639)

---

# 7
DFT (PBE) results for a geometry-optimized Th8Tc2Bi structure.

Values from the calculation:
Formation energy ... -0.0829 eV per atom
Crystal system ... monoclinic
DFT total energy ... -7.717 eV per atom

a b c (Å): 5.706 8.691 8.117
angles (deg): 57.63 83.27 77.35
Element x y z (fractional)
Th (0.923, 0.087, 0.245)
Th (0.923, 0.332, 0.755)
Th (0.297, 0.405, 0.000)
Th (0.500, 0.748, 0.505)
Th (0.500, 0.252, 0.495)
Th (0.703, 0.595, 0.000)
Th (0.077, 0.668, 0.245)
Th (0.077, 0.913, 0.755)
Tc (0.000, 0.289, 0.423)
Tc (0.000, 0.711, 0.577)
Bi (0.500, 0.000, 0.000)

---

# 8
DFT (PBE) results for a geometry-optimized Th4TcBi3 structure.

Values from the calculation:
Formation energy ... -0.4572 eV per atom
Crystal system ... monoclinic
DFT total energy ... -6.918 eV per atom

a b c (Å): 7.635 8.008 9.065
angles (deg): 90.00 90.00 109.39
Element x y z (fractional)
Tc (0.750, 0.000, 0.878)
Tc (0.250, 0.000, 0.122)
Th (0.966, 0.224, 0.661)
Th (0.506, 0.212, 0.891)
Th (0.466, 0.224, 0.339)
Th (0.006, 0.212, 0.109)
Th (0.994, 0.788, 0.891)
Th (0.534, 0.776, 0.661)
Th (0.494, 0.788, 0.109)
Th (0.034, 0.776, 0.339)
Bi (0.750, 0.000, 0.381)
Bi (0.250, 0.000, 0.619)
Bi (0.750, 0.500, 0.612)
Bi (0.750, 0.500, 0.122)
Bi (0.250, 0.500, 0.388)
Bi (0.250, 0.500, 0.878)

---

# 9
DFT (PBE) results for a geometry-optimized Th6TcBi2 structure.

Values from the calculation:
Offset from the most stable computed form ... 0.0 meV per atom
Formation energy ... -0.3695 eV per atom
Crystal system ... hexagonal
DFT total energy ... -7.330 eV per atom

a b c (Å): 4.008 8.826 8.826
angles (deg): 120.00 90.00 90.00
Element x y z (fractional)
Th (0.500, 0.406, 0.406)
Th (0.500, 0.594, 0.000)
Th (0.500, 0.000, 0.594)
Th (0.000, 0.760, 0.760)
Th (0.000, 0.240, 0.000)
Th (0.000, 0.000, 0.240)
Tc (0.500, 0.000, 0.000)
Bi (0.000, 0.667, 0.333)
Bi (0.000, 0.333, 0.667)

---

# 10
DFT (PBE) results for a geometry-optimized Th4TcBi structure.

Values from the calculation:
Offset from the most stable computed form ... 200.3 meV per atom
Formation energy ... -0.0913 eV per atom
Crystal system ... monoclinic
DFT total energy ... -7.412 eV per atom

a b c (Å): 6.432 7.297 9.274
angles (deg): 90.00 63.48 90.00
Element x y z (fractional)
Th (0.979, 0.667, 0.252)
Th (0.521, 0.167, 0.748)
Th (0.499, 0.350, 0.345)
Th (0.001, 0.850, 0.655)
Th (0.021, 0.333, 0.748)
Th (0.479, 0.833, 0.252)
Th (0.501, 0.650, 0.655)
Th (0.999, 0.150, 0.345)
Tc (0.500, 0.000, 0.500)
Tc (0.000, 0.500, 0.500)
Bi (0.000, 0.000, 0.000)
Bi (0.500, 0.500, 0.000)

---

# 11
DFT (PBE) results for a geometry-optimized Th5Tc2Bi2 structure.

Values from the calculation:
Offset from the most stable computed form ... 151.0 meV per atom
Formation energy ... -0.2110 eV per atom
Crystal system ... monoclinic
DFT total energy ... -7.499 eV per atom

a b c (Å): 5.429 8.267 8.533
angles (deg): 124.90 90.00 109.17
Element x y z (fractional)
Th (0.355, 0.710, 0.095)
Th (0.645, 0.290, 0.905)
Th (0.113, 0.226, 0.497)
Th (0.887, 0.774, 0.503)
Th (0.000, 0.000, 0.000)
Tc (0.111, 0.222, 0.829)
Tc (0.889, 0.778, 0.171)
Bi (0.371, 0.741, 0.708)
Bi (0.629, 0.259, 0.292)

---

# 12
DFT (PBE) results for a geometry-optimized Th4TcBi5 structure.

Values from the calculation:
Formation energy ... -0.2738 eV per atom
Crystal system ... monoclinic
DFT total energy ... -6.219 eV per atom

a b c (Å): 4.435 8.576 9.548
angles (deg): 74.27 103.43 90.00
Element x y z (fractional)
Th (0.360, 0.947, 0.721)
Th (0.042, 0.772, 0.084)
Th (0.640, 0.053, 0.279)
Th (0.958, 0.228, 0.916)
Tc (0.500, 0.000, 0.000)
Bi (0.863, 0.642, 0.726)
Bi (0.783, 0.229, 0.566)
Bi (0.217, 0.771, 0.434)
Bi (0.500, 0.500, 0.000)
Bi (0.137, 0.358, 0.274)

---

What did the ninth record say?
DFT (PBE) results for a geometry-optimized Th6TcBi2 structure.

Values from the calculation:
Offset from the most stable computed form ... 0.0 meV per atom
Formation energy ... -0.3695 eV per atom
Crystal system ... hexagonal
DFT total energy ... -7.330 eV per atom

a b c (Å): 4.008 8.826 8.826
angles (deg): 120.00 90.00 90.00
Element x y z (fractional)
Th (0.500, 0.406, 0.406)
Th (0.500, 0.594, 0.000)
Th (0.500, 0.000, 0.594)
Th (0.000, 0.760, 0.760)
Th (0.000, 0.240, 0.000)
Th (0.000, 0.000, 0.240)
Tc (0.500, 0.000, 0.000)
Bi (0.000, 0.667, 0.333)
Bi (0.000, 0.333, 0.667)

---

Please write out number 10 again, unchanged.
DFT (PBE) results for a geometry-optimized Th4TcBi structure.

Values from the calculation:
Offset from the most stable computed form ... 200.3 meV per atom
Formation energy ... -0.0913 eV per atom
Crystal system ... monoclinic
DFT total energy ... -7.412 eV per atom

a b c (Å): 6.432 7.297 9.274
angles (deg): 90.00 63.48 90.00
Element x y z (fractional)
Th (0.979, 0.667, 0.252)
Th (0.521, 0.167, 0.748)
Th (0.499, 0.350, 0.345)
Th (0.001, 0.850, 0.655)
Th (0.021, 0.333, 0.748)
Th (0.479, 0.833, 0.252)
Th (0.501, 0.650, 0.655)
Th (0.999, 0.150, 0.345)
Tc (0.500, 0.000, 0.500)
Tc (0.000, 0.500, 0.500)
Bi (0.000, 0.000, 0.000)
Bi (0.500, 0.500, 0.000)